The following is a PBEsol calculation of Ga2HgSe4 after structural relaxation, from Alexandria via LeMat-Bulk.

The structure belongs to space group I-4 (No. 82); the cell edges are 5.7173, 5.7173 and 10.8051 Å and the angles 90.00°, 90.00° and 90.00°. The inequivalent atoms are Ga at (0.0000, 0.0000, 0.0000), Ga at (0.0000, 0.5000, 0.2500), Hg at (0.0000, 0.5000, 0.7500) and Se at (0.2197, 0.2554, 0.3913).

As for the total energy: -3.73 eV/atom. The calculation puts the uncorrected formation energy at -0.49 eV per atom. The value obtained for the volume is 25.2 Å³ per atom.